Run w
Crystalline TaCSeN2 at its relaxed geometry, computed with GGA-PBE.

```
TaCSeN2
1.0
3.922 0.000 0.000
0.000 3.922 0.000
0.000 0.000 5.446
Ta C Se N
1 1 1 2
Cartesian
0.000 0.000 0.000 Ta
1.961 1.961 2.723 C
0.000 0.000 2.723 Se
0.000 1.961 0.000 N
1.961 0.000 0.000 N
```

Results
**Magnetic moment**: 0.00 μB/f.u.

***

Run x
Crystalline TaCSeN2 at its relaxed geometry, computed with GGA-PBE.

```
TaCSeN2
1.0
3.739 0.000 0.000
0.000 3.739 0.000
0.000 0.000 3.883
Ta C Se N
1 1 1 2
Cartesian
0.000 0.000 0.000 Ta
1.870 1.870 1.941 C
1.870 1.870 0.000 Se
0.000 1.870 1.941 N
1.870 0.000 1.941 N
```

Results
**Magnetic moment**: 0.00 μB/f.u.

***

Stability ranking, top and bottom: run w is the most stable and run x is the least stable.

***

Run w
Crystalline TcCSeN2 at its relaxed geometry, computed with GGA-PBE.

```
TcCSeN2
1.0
3.738 0.000 0.000
0.000 3.738 0.000
0.000 0.000 5.417
Tc C Se N
1 1 1 2
Cartesian
0.000 0.000 0.000 Tc
1.869 1.869 2.709 C
0.000 0.000 2.709 Se
0.000 1.869 0.000 N
1.869 0.000 0.000 N
```

Results
**Magnetic moment**: 0.88 μB/f.u.

***

Run x
Crystalline TcCSeN2 at its relaxed geometry, computed with GGA-PBE.

```
TcCSeN2
1.0
3.663 0.000 0.000
0.000 3.663 0.000
0.000 0.000 3.953
Tc C Se N
1 1 1 2
Cartesian
0.000 0.000 0.000 Tc
1.831 1.831 1.976 C
1.831 1.831 0.000 Se
0.000 1.831 1.976 N
1.831 0.000 1.976 N
```

Results
**Magnetic moment**: 1.18 μB/f.u.

***

Stability ranking, top and bottom: run w is the most stable and run x is the least stable.

***

Run w
Crystalline TlCSeN2 at its relaxed geometry, computed with GGA-PBE.

```
TlCSeN2
1.0
3.934 0.000 0.000
0.000 3.934 0.000
0.000 0.000 4.384
Tl C Se N
1 1 1 2
Cartesian
0.000 0.000 0.000 Tl
1.967 1.967 2.192 C
1.967 1.967 0.000 Se
0.000 1.967 2.192 N
1.967 0.000 2.192 N
```

Results
**Magnetic moment**: 2.51 μB/f.u.

***

Run x
Crystalline TlCSeN2 at its relaxed geometry, computed with GGA-PBE.

```
TlCSeN2
1.0
4.294 0.000 0.000
0.000 4.294 0.000
0.000 0.000 5.851
Tl C Se N
1 1 1 2
Cartesian
0.000 0.000 0.000 Tl
2.147 2.147 2.926 C
0.000 0.000 2.926 Se
0.000 2.147 0.000 N
2.147 0.000 0.000 N
```

Results
**Magnetic moment**: 2.85 μB/f.u.

***

Stability ranking, top and bottom: run w is the most stable and run x is the least stable.

***

Run w
Crystalline VCSe2N at its relaxed geometry, computed with GGA-PBE.

```
VCSe2N
1.0
5.623 0.000 0.000
0.000 5.623 0.000
0.000 0.000 2.516
V C Se N
1 1 2 1
Cartesian
0.000 0.000 0.000 V
2.811 2.811 1.258 C
0.000 2.811 1.258 Se
2.811 0.000 1.258 Se
2.811 2.811 0.000 N
```

Results
**Magnetic moment**: 2.55 μB/f.u.

***

Run x
Crystalline VCSe2N at its relaxed geometry, computed with GGA-PBE.

```
VCSe2N
1.0
4.882 0.000 0.000
0.000 4.882 0.000
0.000 0.000 3.602
V C Se N
1 1 2 1
Cartesian
0.000 0.000 0.000 V
2.441 2.441 1.801 C
0.000 2.441 0.000 Se
2.441 0.000 0.000 Se
0.000 0.000 1.801 N
```

Results
**Magnetic moment**: 0.61 μB/f.u.

***

Stability ranking, top and bottom: run w is the most stable and run x is the least stable.

***

Run w
Crystalline VCSeN2 at its relaxed geometry, computed with GGA-PBE.

```
VCSeN2
1.0
3.631 0.000 0.000
0.000 3.631 0.000
0.000 0.000 5.408
V C Se N
1 1 1 2
Cartesian
0.000 0.000 0.000 V
1.816 1.816 2.704 C
0.000 0.000 2.704 Se
0.000 1.816 0.000 N
1.816 0.000 0.000 N
```

Results
**Magnetic moment**: 0.41 μB/f.u.

***

Run x
Crystalline VCSeN2 at its relaxed geometry, computed with GGA-PBE.

```
VCSeN2
1.0
3.589 0.000 0.000
0.000 3.589 0.000
0.000 0.000 4.021
V C Se N
1 1 1 2
Cartesian
0.000 0.000 0.000 V
1.795 1.795 2.011 C
1.795 1.795 0.000 Se
0.000 1.795 2.011 N
1.795 0.000 2.011 N
```

Results
**Magnetic moment**: 0.00 μB/f.u.

***

Stability ranking, top and bottom: run w is the most stable and run x is the least stable.

***

Run w
Crystalline WCSe2N at its relaxed geometry, computed with GGA-PBE.

```
WCSe2N
1.0
5.006 0.000 0.000
0.000 5.006 0.000
0.000 0.000 3.809
W C Se N
1 1 2 1
Cartesian
0.000 0.000 0.000 W
2.503 2.503 1.904 C
0.000 2.503 0.000 Se
2.503 0.000 0.000 Se
0.000 0.000 1.904 N
```

Results
**Magnetic moment**: 0.80 μB/f.u.

***

Run x
Crystalline WCSe2N at its relaxed geometry, computed with GGA-PBE.

```
WCSe2N
1.0
5.584 0.000 0.000
0.000 5.584 0.000
0.000 0.000 2.522
W C Se N
1 1 2 1
Cartesian
0.000 0.000 0.000 W
2.792 2.792 1.261 C
0.000 2.792 1.261 Se
2.792 0.000 1.261 Se
2.792 2.792 0.000 N
```

Results
**Magnetic moment**: 0.66 μB/f.u.

***

Stability ranking, top and bottom: run x is the most stable and run w is the least stable.